FeN2F2 | GGA+U | relaxed

Properties
The value obtained for the density of states at the Fermi level is 0.32 states/eV per atom. As for the raw total energy: -3.652 eV per atom. The energy relative to the lowest polymorph listed for this composition is 1424 kJ/mol of formula units.

a b c (Å): 3.461 3.461 4.360
angles (deg): 90.00 90.00 90.00
Space group P4/mmm (No. 123)
One atom of each set of equivalent atoms:
Fe1 0.000 0.000 0.000 x1
N1 0.000 0.500 0.500 x2
F1 0.500 0.500 0.000 x1
F2 0.500 0.500 0.500 x1